# TbEr2Pd

A relaxed TbEr2Pd crystal (GGA-PBE, the Alexandria database).

Geometry as CIF:
```
data_TbEr2Pd
_cell_length_a 3.624
_cell_length_b 3.624
_cell_length_c 29.212
_cell_angle_alpha 90.00
_cell_angle_beta 90.00
_cell_angle_gamma 120.00
_symmetry_space_group_name_H-M 'P 1'
_symmetry_Int_Tables_number 1
loop_
_symmetry_equiv_pos_as_xyz
'x,y,z'
loop_
_atom_site_label
_atom_site_type_symbol
_atom_site_fract_x
_atom_site_fract_y
_atom_site_fract_z
Tb1 Tb 0.000 0.000 0.000
Tb2 Tb 0.333 0.667 0.667
Tb3 Tb 0.667 0.333 0.333
Er1 Er 0.000 0.000 0.233
Er2 Er 0.000 0.000 0.767
Er3 Er 0.333 0.667 0.434
Er4 Er 0.333 0.667 0.900
Er5 Er 0.667 0.333 0.100
Er6 Er 0.667 0.333 0.566
Pd1 Pd 0.000 0.000 0.500
Pd2 Pd 0.333 0.667 0.167
Pd3 Pd 0.667 0.333 0.833
```

Calculated values
Energy ... -20.169 eV/f.u.
D(E_F) ... 0.912 states/eV/atom
Space group ... No. 166
Polymorph energy (0 for the lowest one) ... 0.71 eV per formula unit
Formation energy from the elements ... -0.31 eV/atom


# Tb2ErPd4

A relaxed Tb2ErPd4 crystal (GGA-PBE, the Alexandria database).

Geometry as CIF:
```
data_Tb2ErPd4
_cell_length_a 8.697
_cell_length_b 7.226
_cell_length_c 5.140
_cell_angle_alpha 90.00
_cell_angle_beta 109.31
_cell_angle_gamma 90.00
_symmetry_space_group_name_H-M 'P 1'
_symmetry_Int_Tables_number 1
loop_
_symmetry_equiv_pos_as_xyz
'x,y,z'
loop_
_atom_site_label
_atom_site_type_symbol
_atom_site_fract_x
_atom_site_fract_y
_atom_site_fract_z
Tb1 Tb 0.167 0.000 0.360
Tb2 Tb 0.333 0.500 0.640
Tb3 Tb 0.667 0.500 0.360
Tb4 Tb 0.833 0.000 0.640
Er1 Er 0.000 0.500 0.000
Er2 Er 0.500 0.000 0.000
Pd1 Pd 0.000 0.302 0.500
Pd2 Pd 0.000 0.698 0.500
Pd3 Pd 0.250 0.250 0.000
Pd4 Pd 0.250 0.750 0.000
Pd5 Pd 0.500 0.198 0.500
Pd6 Pd 0.500 0.802 0.500
Pd7 Pd 0.750 0.250 0.000
Pd8 Pd 0.750 0.750 0.000
```

Calculated values
Energy ... -40.311 eV/f.u.
D(E_F) ... 0.445 states/eV/atom
Space group ... No. 12
Formation energy from the elements ... -0.82 eV/atom


# Tb2ErPd9

A relaxed Tb2ErPd9 crystal (GGA-PBE, the Alexandria database).

Geometry as CIF:
```
data_Tb2ErPd9
_cell_length_a 4.124
_cell_length_b 4.124
_cell_length_c 12.369
_cell_angle_alpha 90.00
_cell_angle_beta 90.00
_cell_angle_gamma 90.00
_symmetry_space_group_name_H-M 'P 1'
_symmetry_Int_Tables_number 1
loop_
_symmetry_equiv_pos_as_xyz
'x,y,z'
loop_
_atom_site_label
_atom_site_type_symbol
_atom_site_fract_x
_atom_site_fract_y
_atom_site_fract_z
Tb1 Tb 0.000 0.000 0.168
Tb2 Tb 0.000 0.000 0.832
Er1 Er 0.000 0.000 0.500
Pd1 Pd 0.000 0.500 0.000
Pd2 Pd 0.000 0.500 0.335
Pd3 Pd 0.000 0.500 0.665
Pd4 Pd 0.500 0.000 0.000
Pd5 Pd 0.500 0.000 0.335
Pd6 Pd 0.500 0.000 0.665
Pd7 Pd 0.500 0.500 0.167
Pd8 Pd 0.500 0.500 0.500
Pd9 Pd 0.500 0.500 0.833
```

Calculated values
Energy ... -71.039 eV/f.u.
D(E_F) ... 0.755 states/eV/atom
Space group ... No. 123
Formation energy from the elements ... -0.87 eV/atom


What is the energy in the second record? -40.311 eV/f.u.